Entry 1:
This record from Alexandria describes a relaxed AcZnCd11 crystal. The functional is PBE-GGA.

The structure in POSCAR format:
```
AcZnCd11
1.0
5.538 -0.009 2.307
2.698 7.074 1.124
0.050 -0.005 7.679
Cd Ac Zn
11 1 1
Cartesian
0.025 -0.002 3.840
3.432 1.555 7.450
4.855 5.504 3.660
3.764 4.546 6.550
2.219 1.560 2.562
1.814 4.551 3.432
6.473 2.509 7.679
2.794 -0.007 4.993
4.522 2.514 4.560
6.068 5.500 8.548
1.349 3.537 0.562
0.000 0.000 0.000
4.118 3.532 1.716
```

Results
Total magnetization: 0.00 μB per formula unit
Energy of formation from the pure elements: -0.136 eV/atom
Energy: -1.3247 eV per atom



Entry 2:
This record from Alexandria describes a relaxed AcZn6Cd12 crystal. The functional is PBE-GGA.

The structure in POSCAR format:
```
AcZn6Cd12
1.0
7.841 -0.003 -0.004
-1.947 7.595 -0.004
-1.947 -2.507 7.169
Cd Ac Zn
12 1 6
Cartesian
2.098 0.173 2.923
2.098 2.703 1.127
1.849 2.382 6.034
-1.800 5.472 3.580
1.974 6.438 0.814
4.300 3.009 4.238
5.748 3.508 0.814
1.849 4.912 4.238
-0.352 2.076 2.923
1.974 -1.353 6.347
-1.800 1.577 6.347
5.748 -0.388 3.580
0.000 0.000 0.000
0.200 4.758 1.934
0.200 0.258 5.129
4.560 1.373 1.934
3.748 0.327 5.227
3.748 4.827 2.031
-0.612 3.712 5.227
```

Results
Total magnetization: 0.00 μB per formula unit
Energy of formation from the pure elements: 0.025 eV/atom
Energy: -1.1713 eV per atom



Entry 3:
This record from Alexandria describes a relaxed Ac2Zn6Cd3 crystal. The functional is PBE-GGA.

The structure in POSCAR format:
```
Ac2Zn6Cd3
1.0
-2.157 1.150 -3.506
-5.457 -5.382 1.593
-3.137 6.017 3.903
Zn Cd Ac
6 3 2
Cartesian
-4.384 0.819 0.361
-8.198 -0.673 2.218
-2.554 2.458 -0.228
-3.265 -1.038 -0.937
-7.487 2.822 2.927
-6.367 0.966 1.629
-6.800 0.502 4.349
-1.794 0.133 1.148
-1.079 0.575 -1.753
-4.795 -2.129 2.252
-3.799 2.764 3.244
```

Results
Total magnetization: 0.00 μB per formula unit
Energy of formation from the pure elements: -0.188 eV/atom
Energy: -1.8797 eV per atom



Entry 4:
This record from Alexandria describes a relaxed Ac2Zn7Cd crystal. The functional is PBE-GGA.

The structure in POSCAR format:
```
Ac2Zn7Cd
1.0
4.544 0.000 0.000
0.000 4.544 0.000
0.000 0.000 10.556
Zn Cd Ac
7 1 2
Cartesian
2.272 0.000 3.991
0.000 0.000 5.278
2.272 0.000 1.481
0.000 0.000 0.000
2.272 2.272 5.278
0.000 2.272 9.075
0.000 2.272 6.565
2.272 2.272 0.000
0.000 2.272 2.733
2.272 0.000 7.823
```

Results
Total magnetization: 0.00 μB per formula unit
Energy of formation from the pure elements: -0.278 eV/atom
Energy: -2.0834 eV per atom



Entry 5:
This record from Alexandria describes a relaxed Ac3ZnCd3 crystal. The functional is PBE-GGA.

The structure in POSCAR format:
```
Ac3ZnCd3
1.0
4.955 0.000 -1.081
-0.196 3.877 -0.901
-0.125 0.576 11.323
Ac Zn Cd
3 1 3
Cartesian
3.354 0.977 3.476
4.617 4.435 9.267
1.300 3.498 5.960
1.959 2.185 8.981
0.525 2.634 2.407
4.116 1.828 6.972
2.661 2.253 0.303
```

Results
Total magnetization: 0.00 μB per formula unit
Energy of formation from the pure elements: -0.269 eV/atom
Energy: -2.6044 eV per atom



Entry 6:
This record from Alexandria describes a relaxed Ac4ZnCd crystal. The functional is PBE-GGA.

The structure in POSCAR format:
```
Ac4ZnCd
1.0
-3.887 -3.452 -1.840
-1.606 -0.957 5.188
-5.086 5.975 -0.470
Ac Cd Zn
4 1 1
Cartesian
-2.116 1.062 2.456
-7.305 1.726 3.905
-4.862 -1.143 4.129
-4.559 3.930 2.231
-7.824 3.758 1.187
-4.140 2.018 4.938
```

Results
Total magnetization: 0.00 μB per formula unit
Energy of formation from the pure elements: 0.028 eV/atom
Energy: -3.0758 eV per atom



Entry 7:
This record from Alexandria describes a relaxed Ac4Zn2Cd5 crystal. The functional is PBE-GGA.

The structure in POSCAR format:
```
Ac4Zn2Cd5
1.0
-3.334 -1.991 -1.423
4.716 -5.451 -3.424
-0.769 -5.027 8.836
Cd Zn Ac
5 2 4
Cartesian
0.786 -1.841 0.733
1.549 -5.930 4.666
2.398 -4.549 0.746
2.358 -2.726 -1.712
3.161 -8.637 4.678
4.149 -6.990 0.057
-0.202 -3.489 5.354
-0.803 -4.596 2.302
2.132 -6.170 -2.373
-1.519 -6.299 6.361
1.416 -7.873 1.687
```

Results
Total magnetization: 0.00 μB per formula unit
Energy of formation from the pure elements: -0.240 eV/atom
Energy: -2.3820 eV per atom



Entry 8:
This record from Alexandria describes a relaxed Ac3Zn3Cd2 crystal. The functional is PBE-GGA.

The structure in POSCAR format:
```
Ac3Zn3Cd2
1.0
-0.331 4.738 1.146
-0.375 -3.784 5.119
15.503 0.687 1.643
Zn Ac Cd
6 6 4
Cartesian
14.508 -0.462 6.106
6.909 2.397 2.504
11.280 2.408 3.720
7.887 -0.756 5.404
3.517 -0.767 4.188
0.288 2.103 1.803
13.689 0.349 2.514
3.581 2.202 2.347
5.431 1.483 5.852
9.365 0.158 2.056
1.107 1.292 5.394
11.216 -0.561 5.561
1.198 -0.515 2.475
8.685 1.938 4.912
13.598 2.156 5.433
6.111 -0.297 2.996
```

Results
Total magnetization: 0.00 μB per formula unit
Energy of formation from the pure elements: -0.274 eV/atom
Energy: -2.5210 eV per atom



Entry 9:
This record from Alexandria describes a relaxed AcZn3Cd2 crystal. The functional is PBE-GGA.

The structure in POSCAR format:
```
AcZn3Cd2
1.0
6.236 0.000 0.000
0.000 6.632 0.220
0.000 -1.117 6.541
Cd Zn Ac
4 6 2
Cartesian
3.118 0.572 5.163
0.000 4.943 1.598
0.000 0.572 5.163
3.118 4.943 1.598
4.677 0.653 2.944
1.559 5.147 6.310
1.559 2.763 5.530
1.559 4.862 3.817
4.677 2.753 1.231
4.677 0.368 0.451
4.677 3.776 4.629
1.559 1.739 2.132
```

Results
Total magnetization: 0.00 μB per formula unit
Energy of formation from the pure elements: -0.214 eV/atom
Energy: -1.8410 eV per atom



Entry 10:
This record from Alexandria describes a relaxed Ac2ZnCd crystal. The functional is PBE-GGA.

The structure in POSCAR format:
```
Ac2ZnCd
1.0
-0.484 3.811 1.036
-3.910 -0.316 -0.666
-1.121 -2.219 7.642
Ac Zn Cd
2 1 1
Cartesian
-0.860 -1.702 5.862
-0.261 -0.517 1.781
-2.197 1.748 0.185
-2.758 0.638 4.006
```

Results
Total magnetization: 0.00 μB per formula unit
Energy of formation from the pure elements: -0.270 eV/atom
Energy: -2.8718 eV per atom



Entry 11:
This record from Alexandria describes a relaxed Ac2Zn3Cd6 crystal. The functional is PBE-GGA.

The structure in POSCAR format:
```
Ac2Zn3Cd6
1.0
-1.574 -4.273 0.324
2.175 -1.403 -7.937
5.433 -1.536 6.150
Zn Cd Ac
3 6 2
Cartesian
2.578 -3.088 3.972
2.108 -3.254 -0.518
0.560 -3.005 -4.755
0.810 -2.588 1.970
1.529 -0.591 -0.359
4.340 -1.227 4.914
4.583 -4.211 -1.100
-0.148 -2.549 -2.172
1.738 -1.121 -6.342
3.261 -1.447 -3.241
4.347 -1.491 1.455
```

Results
Total magnetization: 0.00 μB per formula unit
Energy of formation from the pure elements: -0.231 eV/atom
Energy: -1.8247 eV per atom



Entry 12:
This record from Alexandria describes a relaxed AcZn2Cd6 crystal. The functional is PBE-GGA.

The structure in POSCAR format:
```
AcZn2Cd6
1.0
4.504 0.000 0.000
0.000 4.504 0.000
0.000 0.000 10.185
Cd Ac Zn
6 1 2
Cartesian
2.252 0.000 2.902
2.252 2.252 5.093
0.000 2.252 7.283
0.000 0.000 5.093
2.252 0.000 7.283
0.000 2.252 2.902
0.000 0.000 0.000
2.252 2.252 1.253
2.252 2.252 8.932
```

Results
Total magnetization: 0.00 μB per formula unit
Energy of formation from the pure elements: -0.177 eV/atom
Energy: -1.5266 eV per atom